Pr2GaCu7: relaxed, GGA-PBE.

The structure in POSCAR format:
```
Pr2GaCu7
1.0
4.129 0.000 0.000
0.000 4.129 0.000
0.000 0.000 10.199
Cu Pr Ga
7 2 1
Cartesian
0.000 2.064 6.405 Cu
0.000 0.000 0.000 Cu
0.000 2.064 8.822 Cu
2.064 0.000 3.794 Cu
2.064 0.000 1.377 Cu
2.064 2.064 5.100 Cu
0.000 0.000 5.100 Cu
2.064 0.000 7.578 Pr
0.000 2.064 2.621 Pr
2.064 2.064 0.000 Ga
```

Results
- N(E_F): 3.2 states/eV/f.u.
- Uncorrected energy: -4.307 eV per atom
- Size of the total moment: 0.00 μB/f.u.
- Energy of formation: -0.18 eV/atom